No. 1
Material: LiGa3B
Method: DFT, PBE
State: relaxed

Cell and atoms, written as POSCAR:
```
LiGa3B
1.0
4.448 0.000 0.000
0.000 4.448 0.000
0.000 0.000 4.448
Li B Ga
1 1 3
Cartesian
2.224 2.224 2.224
0.000 0.000 0.000
0.000 2.224 0.000
2.224 0.000 0.000
0.000 0.000 2.224
```

The calculation puts the formation energy at 7.92 kcal/mol of atoms. The relative energy among the computed polymorphs is 0.0 kJ/mol of atoms. The space-group type is Pm-3m. For the uncorrected energy, the calculation gives -15.95 eV for the cell shown.

***

No. 2
Material: Zr2TcGeH
Method: DFT, PBE
State: relaxed

Cell and atoms, written as POSCAR:
```
Zr2TcGeH
1.0
4.438 0.000 0.000
0.000 4.438 0.000
0.000 0.000 3.831
Tc Ge H Zr
1 1 1 2
Cartesian
0.000 0.000 1.915
2.219 2.219 1.915
0.000 0.000 0.000
0.000 2.219 0.000
2.219 0.000 0.000
```

The space-group type is P4/mmm. For the uncorrected energy, the calculation gives -37.47 eV for the cell shown.

***

- Which of these has the highest uncorrected energy?
  LiGa3B

***

What did the first record say?
Material: LiGa3B
Method: DFT, PBE
State: relaxed

Cell and atoms, written as POSCAR:
```
LiGa3B
1.0
4.448 0.000 0.000
0.000 4.448 0.000
0.000 0.000 4.448
Li B Ga
1 1 3
Cartesian
2.224 2.224 2.224
0.000 0.000 0.000
0.000 2.224 0.000
2.224 0.000 0.000
0.000 0.000 2.224
```

The calculation puts the formation energy at 7.92 kcal/mol of atoms. The relative energy among the computed polymorphs is 0.0 kJ/mol of atoms. The space-group type is Pm-3m. For the uncorrected energy, the calculation gives -15.95 eV for the cell shown.

***

- Number 2 is which compound?
  Zr2TcGeH